Entry 1:
ZrBeAu4 after structural relaxation, computed with PBEsol.

Calculated values
E_form: 0.091 eV/atom

Lattice parameters (Å, degrees): 5.3344 5.3344 5.3344 60.00 60.00 60.00
Sites, in units of the cell vectors:
Au (0.3752, 0.3752, 0.3752)
Au (0.3752, 0.3752, 0.8745)
Au (0.8745, 0.3752, 0.3752)
Au (0.3752, 0.8745, 0.3752)
Zr (0.0000, 0.0000, 0.0000)
Be (0.7500, 0.7500, 0.7500)

Entry 2:
ZrBeAu after structural relaxation, computed with PBEsol.

Calculated values
E_form: -0.404 eV/atom

Lattice parameters (Å, degrees): 3.2079 4.1599 4.1599 120.00 90.00 90.00
Sites, in units of the cell vectors:
Be (0.0000, 0.3333, 0.6667)
Au (0.0000, 0.0000, 0.0000)
Zr (0.5000, 0.6667, 0.3333)

Entry 3:
ZrBeAu2 after structural relaxation, computed with PBEsol.

Calculated values
E_form: -0.393 eV/atom

Lattice parameters (Å, degrees): 2.9840 2.9840 7.0055 90.00 90.00 90.00
Sites, in units of the cell vectors:
Be (0.5000, 0.5000, 0.0000)
Au (0.0000, 0.0000, 0.7981)
Au (0.0000, 0.0000, 0.2019)
Zr (0.5000, 0.5000, 0.5000)

Entry 4:
Bi3Au after structural relaxation, computed with PBEsol.

Calculated values
E_form: 0.144 eV/atom

Lattice parameters (Å, degrees): 4.7478 4.7478 4.7478 90.00 90.00 90.00
Sites, in units of the cell vectors:
Bi (0.0000, 0.5000, 0.5000)
Bi (0.5000, 0.0000, 0.5000)
Bi (0.5000, 0.5000, 0.0000)
Au (0.0000, 0.0000, 0.0000)

Entry 5:
BiAuBr2 after structural relaxation, computed with PBEsol.

Calculated values
Uncorrected formation energy: -0.034 eV per atom

Lattice parameters (Å, degrees): 3.5708 3.5708 9.9084 79.62 79.62 60.00
Sites, in units of the cell vectors:
Br (0.9164, 0.9164, 0.2507)
Br (0.0836, 0.0836, 0.7493)
Au (0.0000, 0.0000, 0.0000)
Bi (0.5000, 0.5000, 0.5000)

Entry 6:
K2BiAuBr6 after structural relaxation, computed with PBEsol.

Calculated values
Uncorrected formation energy: -0.915 eV per atom

Lattice parameters (Å, degrees): 7.8521 7.8521 7.8521 60.00 60.00 60.00
Sites, in units of the cell vectors:
Br (0.7446, 0.2554, 0.7446)
Br (0.2554, 0.2554, 0.7446)
Br (0.2554, 0.7446, 0.7446)
Br (0.7446, 0.2554, 0.2554)
Br (0.2554, 0.7446, 0.2554)
Br (0.7446, 0.7446, 0.2554)
K (0.2500, 0.2500, 0.2500)
K (0.7500, 0.7500, 0.7500)
Bi (0.0000, 0.0000, 0.0000)
Au (0.5000, 0.5000, 0.5000)

Entry 7:
Rb2BiAuBr6 after structural relaxation, computed with PBEsol.

Calculated values
Uncorrected formation energy: -0.957 eV per atom

Lattice parameters (Å, degrees): 7.8708 7.8708 7.8708 60.00 60.00 60.00
Sites, in units of the cell vectors:
Rb (0.7500, 0.7500, 0.7500)
Rb (0.2500, 0.2500, 0.2500)
Br (0.7447, 0.2553, 0.7447)
Br (0.2553, 0.7447, 0.7447)
Br (0.7447, 0.2553, 0.2553)
Br (0.2553, 0.2553, 0.7447)
Br (0.2553, 0.7447, 0.2553)
Br (0.7447, 0.7447, 0.2553)
Bi (0.0000, 0.0000, 0.0000)
Au (0.5000, 0.5000, 0.5000)

Entry 8:
ReBi2AuBr after structural relaxation, computed with PBEsol.

Calculated values
Uncorrected formation energy: 0.609 eV per atom

Lattice parameters (Å, degrees): 5.0587 5.2257 5.2257 90.00 90.00 90.00
Sites, in units of the cell vectors:
Br (0.5000, 0.5000, 0.5000)
Bi (0.0000, 0.5000, 0.0000)
Bi (0.0000, 0.0000, 0.5000)
Au (0.5000, 0.0000, 0.0000)
Re (0.0000, 0.0000, 0.0000)

Entry 9:
SnBiAu2C after structural relaxation, computed with PBEsol.

Calculated values
E_form: 1.960 eV/atom

Lattice parameters (Å, degrees): 5.0278 5.0278 5.8519 90.00 90.00 90.00
Site moments in Bohr magnetons follow the coordinates.
Sites, in units of the cell vectors:
Bi (0.0000, 0.0000, 0.5000)  -0.09
Sn (0.0000, 0.0000, 0.0000)  0.04
Au (0.0000, 0.5000, 0.0000)  0.05
Au (0.5000, 0.0000, 0.0000)  0.05
C (0.5000, 0.5000, 0.5000)  0.88

Entry 10:
CaBiAu4 after structural relaxation, computed with PBEsol.

Calculated values
E_form: -0.432 eV/atom

Lattice parameters (Å, degrees): 5.5885 5.5885 5.5885 60.00 60.00 60.00
Sites, in units of the cell vectors:
Bi (0.0000, 0.0000, 0.0000)
Au (0.3753, 0.3753, 0.8740)
Au (0.3753, 0.8740, 0.3753)
Au (0.3753, 0.3753, 0.3753)
Au (0.8740, 0.3753, 0.3753)
Ca (0.7500, 0.7500, 0.7500)

Entry 11:
CaBiAu3 after structural relaxation, computed with PBEsol.

Calculated values
E_form: 0.612 eV/atom

Lattice parameters (Å, degrees): 5.1360 5.1360 5.1360 90.00 90.00 90.00
Sites, in units of the cell vectors:
Ca (0.0000, 0.0000, 0.0000)
Au (0.0000, 0.5000, 0.0000)
Au (0.0000, 0.0000, 0.5000)
Au (0.5000, 0.0000, 0.0000)
Bi (0.5000, 0.5000, 0.5000)

Entry 12:
CaBi2Au2 after structural relaxation, computed with PBEsol.

Calculated values
E_form: -0.381 eV/atom

Lattice parameters (Å, degrees): 4.0700 7.7477 7.7477 90.00 90.00 90.00
Sites, in units of the cell vectors:
Au (0.0000, 0.8749, 0.6251)
Au (0.0000, 0.1251, 0.3749)
Au (0.0000, 0.6251, 0.1251)
Au (0.0000, 0.3749, 0.8749)
Ca (0.0000, 0.0000, 0.0000)
Ca (0.0000, 0.5000, 0.5000)
Bi (0.5000, 0.8207, 0.3207)
Bi (0.5000, 0.6793, 0.8207)
Bi (0.5000, 0.1793, 0.6793)
Bi (0.5000, 0.3207, 0.1793)

Values of energy, in order: -28.238; -18.227; -22.509; -16.203; -12.087; -30.846; -31.055; -24.653; -16.238; -24.708; -15.133; -40.910, all in eV for the cell shown.
Values of magnetization, in order: 0.00; 0.00; 0.00; 0.00; 0.00; 0.00; 0.00; 0.00; 1.95; 0.00; 0.00; 0.00, all in μB per formula unit.